1.
Compound: TlFe2Os
Source: the Alexandria database
Functional: PBE
Structure: relaxed

The structure in POSCAR format:
```
TlFe2Os
1.0
5.169 0.000 0.004
2.354 4.602 -0.004
-3.264 -3.115 2.523
Fe Os Tl
2 1 1
direct
0.980 0.980 0.000 Fe
0.761 0.261 0.500 Fe
0.517 0.517 0.000 Os
0.242 0.742 0.500 Tl
```

Calculated values
**DFT total energy**: -28.140 eV per cell
**ΔE_f**: 57.4 kJ/mol of atoms
**Space group**: Imm2, No. 44
**Polymorph energy (0 for the lowest one)**: 77 meV/atom



2.
Compound: Sm3YP4
Source: the Alexandria database
Functional: PBE
Structure: relaxed

The structure in POSCAR format:
```
Sm3YP4
1.0
5.775 0.000 0.000
0.000 5.775 0.000
0.000 0.000 5.775
Y P Sm
1 4 3
direct
0.000 0.000 0.000 Y
0.500 0.000 0.000 P
0.000 0.500 0.000 P
0.000 0.000 0.500 P
0.500 0.500 0.500 P
0.000 0.500 0.500 Sm
0.500 0.000 0.500 Sm
0.500 0.500 0.000 Sm
```

Calculated values
**DFT total energy**: -54.936 eV per cell
**ΔE_f**: -152.9 kJ/mol of atoms
**Space group**: Pm-3m, No. 221



3.
Compound: CaMnHg4
Source: the Alexandria database
Functional: PBE
Structure: relaxed

The structure in POSCAR format:
```
CaMnHg4
1.0
5.561 -1.901 0.594
1.486 -3.392 4.602
1.274 -5.708 -0.827
Ca Mn Hg
1 1 4
direct
0.000 0.000 0.000 Ca
0.750 0.750 0.750 Mn
0.375 0.874 0.375 Hg
0.874 0.375 0.375 Hg
0.375 0.375 0.874 Hg
0.375 0.375 0.375 Hg
```

Calculated values
**DFT total energy**: -11.592 eV per cell
**ΔE_f**: 12.6 kJ/mol of atoms
**Space group**: F-43m, No. 216